[1]
{"formula": "ZnAgP", "functional": "PBE-GGA", "state": "optimized geometry", "lattice": [[4.451, 0.000, 0.000], [-2.225, 3.855, 0.000], [0.000, 0.000, 2.916]], "species": ["Zn", "Ag", "P"], "frac_coords": [[0.000, 0.000, 0.000], [0.667, 0.333, 0.498], [0.333, 0.667, 0.998]], "delta_e_f_mev_per_atom": 253, "dos_at_fermi_per_ev_cell": 0.92, "total_energy_ev_per_atom": -2.93, "crystal_system": "trigonal"}

=====

[2]
{"formula": "Zn2ReTc2", "functional": "PBE-GGA", "state": "optimized geometry", "lattice": [[-1.620, 1.620, 7.260], [1.620, -1.620, 7.260], [1.620, 1.620, -7.260]], "species": ["Zn", "Zn", "Re", "Tc", "Tc"], "frac_coords": [[0.250, 0.750, 0.500], [0.750, 0.250, 0.500], [0.000, 0.000, 0.000], [0.403, 0.403, 0.000], [0.597, 0.597, 0.000]], "relative_energy_mev_per_atom": 49, "delta_e_f_mev_per_atom": 454, "dos_at_fermi_per_ev_cell": 3.21, "total_energy_ev_per_atom": -6.69, "crystal_system": "tetragonal"}

=====

[3]
{"formula": "CeP4", "functional": "PBE-GGA", "state": "optimized geometry", "lattice": [[6.136, 0.000, 0.000], [0.000, 4.509, 0.000], [-1.062, 0.000, 7.870]], "species": ["Ce", "Ce", "P", "P", "P", "P", "P", "P", "P", "P"], "frac_coords": [[0.000, 0.000, 0.000], [0.000, 0.500, 0.500], [0.284, 0.192, 0.758], [0.284, 0.308, 0.258], [0.402, 0.628, 0.088], [0.402, 0.872, 0.588], [0.598, 0.128, 0.412], [0.598, 0.372, 0.912], [0.716, 0.692, 0.742], [0.716, 0.808, 0.242]], "relative_energy_mev_per_atom": 0, "delta_e_f_mev_per_atom": -427, "dos_at_fermi_per_ev_cell": 12.43, "total_energy_ev_per_atom": -5.94, "crystal_system": "monoclinic"}